1.
Below is an optimized crystal structure of ErMgSn, with properties calculated at the PBE level.

Results
The energy relative to the elements is -0.46 eV per atom. The mass density is 6.78 g/cm³. As for the space group: Cmcm (63).

a = 4.4860 Å, b = 5.8771 Å, c = 6.2413 Å
α = 90.00°, β = 90.00°, γ = 112.44°
Last column: nearest neighbours and their distance in Å.
Fractional coordinates of all 6 atoms:
Sn  0.8898  0.7797  0.7500  4 Mg 2.98, 5 Er 3.08-3.32
Sn  0.1102  0.2203  0.2500  4 Mg 2.98, 5 Er 3.08-3.32
Mg  0.5000  0.0000  0.0000  4 Sn 2.98, 2 Mg 3.12
Mg  0.5000  0.0000  0.5000  4 Sn 2.98, 2 Mg 3.12
Er  0.8042  0.6084  0.2500  5 Sn 3.08-3.32
Er  0.1958  0.3916  0.7500  5 Sn 3.08-3.32



2.
Below is an optimized crystal structure of SiBiTe2N, with properties calculated at the PBE level.

Results
The mass density is 5.50 g/cm³. As for the space group: P4/mmm (123). Its energy relative to the elements, uncorrected is 1.30 eV per atom. For the excess energy over the best structure of this formula in the dataset, the calculation gives 5.42 eV/f.u.

a = 5.9417 Å, b = 5.9417 Å, c = 4.3265 Å
α = 90.00°, β = 90.00°, γ = 90.00°
Last column: nearest neighbours and their distance in Å.
Fractional coordinates of all 5 atoms:
Te  0.5000  0.0000  0.0000  2 Bi 2.97
Te  0.0000  0.5000  0.0000  2 Bi 2.97
Bi  0.0000  0.0000  0.0000  2 N 2.16
N  0.0000  0.0000  0.5000  2 Bi 2.16
Si  0.5000  0.5000  0.5000  8 Te 3.67



3.
Below is an optimized crystal structure of TiGe2Pt, with properties calculated at the PBE level.

Results
The energy relative to the elements is -0.26 eV per atom. The mass density is 9.11 g/cm³. As for the space group: I-42d (122).

a = 4.0015 Å, b = 4.0015 Å, c = 9.2829 Å
α = 77.55°, β = 77.55°, γ = 90.00°
Last column: nearest neighbours and their distance in Å.
Fractional coordinates of all 8 atoms:
Ge  0.8750  0.8809  0.7500  2 Pt 2.62, 2 Ti 2.63, 4 Ge 2.80-2.86
Ge  0.6309  0.1250  0.2500  2 Pt 2.62, 2 Ti 2.63, 4 Ge 2.80-2.86
Ge  0.1191  0.6250  0.2500  2 Pt 2.62, 2 Ti 2.63, 4 Ge 2.80-2.86
Ge  0.3750  0.3691  0.7500  2 Pt 2.62, 2 Ti 2.63, 4 Ge 2.80-2.86
Pt  0.7500  0.2500  0.5000  4 Ge 2.62, 4 Ti 2.83
Pt  0.0000  0.0000  0.0000  4 Ge 2.62, 4 Ti 2.83
Ti  0.2500  0.7500  0.5000  4 Ge 2.63, 4 Pt 2.83
Ti  0.5000  0.5000  0.0000  4 Ge 2.63, 4 Pt 2.83



Calculated final energy in order - -3.85, -3.48, -6.05 eV per atom